[1]
{
  "formula": "GaWS2Cl",
  "functional": "PBE",
  "state": "optimized geometry",
  "lattice_angstrom": [[4.689, 0.000, 0.000], [0.000, 4.689, 0.000], [0.000, 0.000, 4.993]],
  "species": ["S", "S", "Ga", "W", "Cl"],
  "fractional_positions": [[0.000, 0.500, 0.000], [0.500, 0.000, 0.000], [0.500, 0.500, 0.500], [0.000, 0.000, 0.000], [0.000, 0.000, 0.500]],
  "space_group": "No. 123",
  "e_form_raw_ev_per_atom": -0.153,
  "dft_energy_ev_per_atom": -5.369
}

[2]
{
  "formula": "GaWS2Cl",
  "functional": "PBE",
  "state": "optimized geometry",
  "lattice_angstrom": [[-2.001, -3.417, 2.654], [-1.353, -2.283, -3.959], [3.877, -2.279, -0.011]],
  "species": ["S", "S", "Ga", "W", "Cl"],
  "fractional_positions": [[0.000, 0.500, 0.000], [0.500, 0.000, 0.000], [0.000, 0.000, 0.000], [0.500, 0.500, 0.500], [0.000, 0.000, 0.500]],
  "space_group": "No. 123",
  "e_form_raw_ev_per_atom": 0.868,
  "dft_energy_ev_per_atom": -4.348
}

[3]
{
  "formula": "YGaS2Cl",
  "functional": "PBE",
  "state": "optimized geometry",
  "lattice_angstrom": [[-1.451, 0.160, 4.578], [-4.173, -2.027, -1.252], [1.826, -4.208, 0.726]],
  "species": ["Y", "S", "S", "Ga", "Cl"],
  "fractional_positions": [[0.500, 0.500, 0.500], [0.000, 0.500, 0.000], [0.500, 0.000, 0.000], [0.000, 0.000, 0.000], [0.000, 0.000, 0.500]],
  "space_group": "No. 123",
  "e_form_raw_ev_per_atom": -0.791,
  "dft_energy_ev_per_atom": -4.710
}

[4]
{
  "formula": "YGaSCl2",
  "functional": "PBE",
  "state": "optimized geometry",
  "lattice_angstrom": [[-4.765, 1.421, -1.838], [-2.238, -3.936, 2.758], [-0.623, 3.243, 4.123]],
  "species": ["Y", "S", "Ga", "Cl", "Cl"],
  "fractional_positions": [[0.000, 0.000, 0.000], [0.000, 0.000, 0.500], [0.500, 0.500, 0.500], [0.000, 0.500, 0.000], [0.500, 0.000, 0.000]],
  "space_group": "No. 123",
  "e_form_raw_ev_per_atom": -1.394,
  "dft_energy_ev_per_atom": -4.856
}